1.
A relaxed structure of Tm12Ni6Pb, computed with PBE.

Cell and atoms, written as CIF:
```
data_Tm12Ni6Pb
_chemical_formula_sum 'Tm24 Ni12 Pb2'
_space_group_name_H-M_alt 'I m -3'
_space_group_IT_number 204
_space_group_name_Hall '-I 2 2 3'
_cell_length_a 9.5684
_cell_length_b 9.5684
_cell_length_c 9.5684
_cell_angle_alpha 90.00
_cell_angle_beta 90.00
_cell_angle_gamma 90.00
loop_
_atom_site_label
_atom_site_type_symbol
_atom_site_fract_x
_atom_site_fract_y
_atom_site_fract_z
Tm1 Tm 0.0000 0.1883 0.3038
Ni1 Ni 0.0000 0.3762 0.5000
Pb1 Pb 0.0000 0.0000 0.0000
```

* mass density: 9.81 g/cm3
* electronic total energy: -5.19 eV per atom

=====

2.
A relaxed structure of HfAgHg2, computed with PBE.

Cell and atoms, written as CIF:
```
data_HfAgHg2
_chemical_formula_sum 'Hf4 Ag4 Hg8'
_space_group_name_H-M_alt 'F -4 3 m'
_space_group_IT_number 216
_space_group_name_Hall 'F -4 2 3'
_cell_length_a 6.8655
_cell_length_b 6.8655
_cell_length_c 6.8655
_cell_angle_alpha 90.00
_cell_angle_beta 90.00
_cell_angle_gamma 90.00
loop_
_atom_site_label
_atom_site_type_symbol
_atom_site_fract_x
_atom_site_fract_y
_atom_site_fract_z
Hf1 Hf 0.0000 0.0000 0.0000
Ag1 Ag 0.2500 0.2500 0.2500
Hg1 Hg 0.0000 0.0000 0.5000
Hg2 Hg 0.2500 0.2500 0.7500
```

* mass density: 14.11 g/cm3
* energy of formation from the pure elements: 122 meV per atom
* electronic total energy: -3.22 eV per atom

=====

3.
A relaxed structure of Nb4SiAuN2, computed with PBE.

Cell and atoms, written as CIF:
```
data_Nb4SiAuN2
_chemical_formula_sum 'Nb4 Si1 Au1 N2'
_space_group_name_H-M_alt 'P -6 m 2'
_space_group_IT_number 187
_space_group_name_Hall 'P -6 2'
_cell_length_a 3.2299
_cell_length_b 3.2299
_cell_length_c 12.8216
_cell_angle_alpha 90.00
_cell_angle_beta 90.00
_cell_angle_gamma 120.00
loop_
_atom_site_label
_atom_site_type_symbol
_atom_site_fract_x
_atom_site_fract_y
_atom_site_fract_z
Nb1 Nb 0.0000 0.0000 0.1471
Nb2 Nb 0.3333 0.6667 0.3259
Si1 Si 0.3333 0.6667 0.0000
Au1 Au 0.0000 0.0000 0.5000
N1 N 0.6667 0.3333 0.2420
```

* mass density: 8.96 g/cm3
* electronic total energy: -8.83 eV per atom

=====

4.
A relaxed structure of Dy2In, computed with PBE.

Cell and atoms, written as CIF:
```
data_Dy2In
_chemical_formula_sum 'Dy8 In4'
_space_group_name_H-M_alt 'F m -3 m'
_space_group_IT_number 225
_space_group_name_Hall '-F 4 2 3'
_cell_length_a 7.3155
_cell_length_b 7.3155
_cell_length_c 7.3155
_cell_angle_alpha 90.00
_cell_angle_beta 90.00
_cell_angle_gamma 90.00
loop_
_atom_site_label
_atom_site_type_symbol
_atom_site_fract_x
_atom_site_fract_y
_atom_site_fract_z
Dy1 Dy 0.2500 0.2500 0.2500
In1 In 0.0000 0.0000 0.0000
```

* mass density: 7.46 g/cm3
* electronic total energy: -4.07 eV per atom

=====

5.
A relaxed structure of NpTcBi, computed with PBE.

Cell and atoms, written as CIF:
```
data_NpTcBi
_chemical_formula_sum 'Np4 Tc4 Bi4'
_space_group_name_H-M_alt 'F -4 3 m'
_space_group_IT_number 216
_space_group_name_Hall 'F -4 2 3'
_cell_length_a 6.7377
_cell_length_b 6.7377
_cell_length_c 6.7377
_cell_angle_alpha 90.00
_cell_angle_beta 90.00
_cell_angle_gamma 90.00
loop_
_atom_site_label
_atom_site_type_symbol
_atom_site_fract_x
_atom_site_fract_y
_atom_site_fract_z
Np1 Np 0.0000 0.0000 0.0000
Tc1 Tc 0.2500 0.2500 0.2500
Bi1 Bi 0.2500 0.2500 0.7500
```

* mass density: 11.81 g/cm3
* electronic total energy: -7.97 eV per atom

=====

6.
A relaxed structure of YHoPbN, computed with PBE.

Cell and atoms, written as CIF:
```
data_YHoPbN
_chemical_formula_sum 'Y2 Ho2 Pb2 N2'
_space_group_name_H-M_alt 'P -6 m 2'
_space_group_IT_number 187
_space_group_name_Hall 'P -6 2'
_cell_length_a 3.5439
_cell_length_b 3.5439
_cell_length_c 15.5604
_cell_angle_alpha 90.00
_cell_angle_beta 90.00
_cell_angle_gamma 120.00
loop_
_atom_site_label
_atom_site_type_symbol
_atom_site_fract_x
_atom_site_fract_y
_atom_site_fract_z
Y1 Y 0.0000 0.0000 0.1663
Ho1 Ho 0.6667 0.3333 0.3331
Pb1 Pb 0.0000 0.0000 0.5000
Pb2 Pb 0.6667 0.3333 0.0000
N1 N 0.3333 0.6667 0.2520
```

* mass density: 9.32 g/cm3
* electronic total energy: -6.88 eV per atom

=====

7.
A relaxed structure of Tb2DyAl3CuSi2, computed with PBE.

Cell and atoms, written as CIF:
```
data_Tb2DyAl3CuSi2
_chemical_formula_sum 'Tb4 Dy2 Al6 Cu2 Si4'
_space_group_name_H-M_alt 'A m m 2'
_space_group_IT_number 38
_cell_length_a 4.1872
_cell_length_b 11.9975
_cell_length_c 6.9314
_cell_angle_alpha 90.00
_cell_angle_beta 90.00
_cell_angle_gamma 90.00
loop_
_space_group_symop_operation_xyz
'x,y,z'
'-x,-y,z'
'-x,y,z'
'x,-y,z'
'x,y+1/2,z+1/2'
'-x,-y+1/2,z+1/2'
'-x,y+1/2,z+1/2'
'x,-y+1/2,z+1/2'
loop_
_atom_site_label
_atom_site_type_symbol
_atom_site_fract_x
_atom_site_fract_y
_atom_site_fract_z
Tb1 Tb 0.0000 0.2031 0.0000
Dy1 Dy 0.0000 0.0000 0.6092
Al1 Al 0.5000 0.0000 0.9658
Al2 Al 0.5000 0.1185 0.3221
Cu1 Cu 0.0000 0.0000 0.2041
Si1 Si 0.5000 0.1662 0.7030
```

* mass density: 6.50 g/cm3
* electronic total energy: -5.04 eV per atom

=====

8.
A relaxed structure of BeCoAsAu, computed with PBE.

Cell and atoms, written as CIF:
```
data_BeCoAsAu
_chemical_formula_sum 'Be4 Co4 As4 Au4'
_space_group_name_H-M_alt 'F -4 3 m'
_space_group_IT_number 216
_space_group_name_Hall 'F -4 2 3'
_cell_length_a 6.0155
_cell_length_b 6.0155
_cell_length_c 6.0155
_cell_angle_alpha 90.00
_cell_angle_beta 90.00
_cell_angle_gamma 90.00
loop_
_atom_site_label
_atom_site_type_symbol
_atom_site_fract_x
_atom_site_fract_y
_atom_site_fract_z
Be1 Be 0.0000 0.0000 0.0000
Co1 Co 0.2500 0.2500 0.7500
As1 As 0.0000 0.0000 0.5000
Au1 Au 0.2500 0.2500 0.2500
```

* polymorph energy (0 for the lowest one): 14 meV/atom
* mass density: 10.37 g/cm3
* electronic total energy: -4.39 eV per atom

=====

9.
A relaxed structure of HfScCSe, computed with PBE.

Cell and atoms, written as CIF:
```
data_HfScCSe
_chemical_formula_sum 'Hf2 Sc2 C2 Se2'
_space_group_name_H-M_alt 'P -6 m 2'
_space_group_IT_number 187
_space_group_name_Hall 'P -6 2'
_cell_length_a 3.4627
_cell_length_b 3.4627
_cell_length_c 12.4431
_cell_angle_alpha 90.00
_cell_angle_beta 90.00
_cell_angle_gamma 120.00
loop_
_atom_site_label
_atom_site_type_symbol
_atom_site_fract_x
_atom_site_fract_y
_atom_site_fract_z
Hf1 Hf 0.0000 0.0000 0.1563
Sc1 Sc 0.3333 0.6667 0.3500
C1 C 0.6667 0.3333 0.2454
Se1 Se 0.0000 0.0000 0.5000
Se2 Se 0.3333 0.6667 0.0000
```

* polymorph energy (0 for the lowest one): 15 meV/atom
* mass density: 8.08 g/cm3
* electronic total energy: -8.42 eV per atom

=====

10.
A relaxed structure of GdHO, computed with PBE.

Cell and atoms, written as CIF:
```
data_GdHO
_chemical_formula_sum 'Gd4 H4 O4'
_space_group_name_H-M_alt 'F -4 3 m'
_space_group_IT_number 216
_space_group_name_Hall 'F -4 2 3'
_cell_length_a 5.3419
_cell_length_b 5.3419
_cell_length_c 5.3419
_cell_angle_alpha 90.00
_cell_angle_beta 90.00
_cell_angle_gamma 90.00
loop_
_atom_site_label
_atom_site_type_symbol
_atom_site_fract_x
_atom_site_fract_y
_atom_site_fract_z
Gd1 Gd 0.0000 0.0000 0.0000
H1 H 0.2500 0.2500 0.7500
O1 O 0.2500 0.2500 0.2500
```

* mass density: 7.59 g/cm3
* electronic total energy: -6.59 eV per atom

=====

11.
A relaxed structure of Dy2ErIn3PdPt2, computed with PBE.

Cell and atoms, written as CIF:
```
data_Dy2ErIn3PdPt2
_chemical_formula_sum 'Dy4 Er2 In6 Pd2 Pt4'
_space_group_name_H-M_alt 'A m m 2'
_space_group_IT_number 38
_cell_length_a 3.8092
_cell_length_b 13.3418
_cell_length_c 7.7181
_cell_angle_alpha 90.00
_cell_angle_beta 90.00
_cell_angle_gamma 90.00
loop_
_space_group_symop_operation_xyz
'x,y,z'
'-x,-y,z'
'-x,y,z'
'x,-y,z'
'x,y+1/2,z+1/2'
'-x,-y+1/2,z+1/2'
'-x,y+1/2,z+1/2'
'x,-y+1/2,z+1/2'
loop_
_atom_site_label
_atom_site_type_symbol
_atom_site_fract_x
_atom_site_fract_y
_atom_site_fract_z
Dy1 Dy 0.0000 0.2047 0.0000
Er1 Er 0.0000 0.0000 0.3860
In1 In 0.5000 0.0000 0.0557
In2 In 0.5000 0.1298 0.6649
Pd1 Pd 0.0000 0.0000 0.7947
Pt1 Pt 0.5000 0.1658 0.2958
```

* mass density: 11.29 g/cm3
* electronic total energy: -5.32 eV per atom

=====

12.
A relaxed structure of Zr2CuSn2, computed with PBE.

Cell and atoms, written as CIF:
```
data_Zr2CuSn2
_chemical_formula_sum 'Zr4 Cu2 Sn4'
_space_group_name_H-M_alt 'I 4/m m m'
_space_group_IT_number 139
_space_group_name_Hall '-I 4 2'
_cell_length_a 4.3539
_cell_length_b 4.3539
_cell_length_c 13.2513
_cell_angle_alpha 90.00
_cell_angle_beta 90.00
_cell_angle_gamma 90.00
loop_
_atom_site_label
_atom_site_type_symbol
_atom_site_fract_x
_atom_site_fract_y
_atom_site_fract_z
Zr1 Zr 0.0000 0.5000 0.2500
Cu1 Cu 0.0000 0.0000 0.0000
Sn1 Sn 0.0000 0.0000 0.3992
```

* mass density: 6.39 g/cm3
* electronic total energy: -5.36 eV per atom